1.
# SrLi2ZnSi (PBE, relaxed)
# Energy above the lowest structure with this stoichiometry, meV/atom: 28
# Theoretical density, g/cm3: 2.9
# Formation energy from raw total energies, eV/atom: -0.03
# Crystal system: tetragonal
data_SrLi2ZnSi
_chemical_formula_sum 'Sr1 Li2 Zn1 Si1'
_cell_length_a 4.8956
_cell_length_b 4.8956
_cell_length_c 4.7315
_cell_angle_alpha 90.00
_cell_angle_beta 90.00
_cell_angle_gamma 90.00
_space_group_name_H-M_alt 'P 4/m m m'
_space_group_IT_number 123
_space_group_name_Hall '-P 4 2'
loop_
_atom_site_label
_atom_site_fract_x
_atom_site_fract_y
_atom_site_fract_z
Sr1 0.0000 0.0000 0.0000
Li1 0.0000 0.5000 0.5000
Zn1 0.5000 0.5000 0.5000
Si1 0.5000 0.5000 0.0000

---

2.
# K5GaAs2 (PBE, relaxed)
# ΔE_f, meV per atom: -289
# Theoretical density, g/cm3: 1.7
# Crystal system: monoclinic
data_K5GaAs2
_chemical_formula_sum 'K10 Ga2 As4'
_cell_length_a 9.8479
_cell_length_b 5.6790
_cell_length_c 14.5105
_cell_angle_alpha 90.00
_cell_angle_beta 103.00
_cell_angle_gamma 90.00
_space_group_name_H-M_alt 'C 1 2/m 1'
_space_group_IT_number 12
_space_group_name_Hall '-C 2y'
loop_
_atom_site_label
_atom_site_fract_x
_atom_site_fract_y
_atom_site_fract_z
K1 0.0000 0.0000 0.0000
K2 0.1316 0.0000 0.3951
K3 0.2445 0.5000 0.2323
Ga1 0.0000 0.5000 0.5000
As1 0.0546 0.5000 0.6639

---

3.
# TcTeI2N (PBE, relaxed)
# Energy above the lowest structure with this stoichiometry, meV/atom: 1133
# Theoretical density, g/cm3: 7.6
# Formation energy from raw total energies, eV/atom: 1.62
# Crystal system: tetragonal
data_TcTeI2N
_chemical_formula_sum 'Tc1 Te1 I2 N1'
_cell_length_a 4.7522
_cell_length_b 4.7522
_cell_length_c 4.7903
_cell_angle_alpha 90.00
_cell_angle_beta 90.00
_cell_angle_gamma 90.00
_space_group_name_H-M_alt 'P 4/m m m'
_space_group_IT_number 123
_space_group_name_Hall '-P 4 2'
loop_
_atom_site_label
_atom_site_fract_x
_atom_site_fract_y
_atom_site_fract_z
Tc1 0.0000 0.0000 0.0000
Te1 0.5000 0.5000 0.0000
I1 0.0000 0.5000 0.5000
N1 0.5000 0.5000 0.5000